DFT (GGA-PBE) results for an optimized crystal structure of AcPrIrSe.

DFT total energy: -6.53 eV per atom
DOS(E_F): 2.29 states/eV/f.u.
ΔE_f (raw): -1.22 eV/atom

a = 4.2622 Å, b = 4.2622 Å, c = 22.2683 Å
α = 90.00°, β = 90.00°, γ = 120.00°
Space group R3m (No. 160, hexagonal axes)
One atom of each set of equivalent atoms:
Ac (0.0000, 0.0000, 0.0000) x3
Pr (0.0000, 0.0000, 0.4832) x3
Ir (0.0000, 0.0000, 0.7434) x3
Se (0.0000, 0.0000, 0.2376) x3

---

DFT (GGA-PBE) results for an optimized crystal structure of Ce2Ga3Ni4Sn.

DFT total energy: -5.33 eV per atom
DOS(E_F): 12.25 states/eV/f.u.
E_form: -0.522 eV per atom

a = 4.214 Å, b = 4.214 Å, c = 9.934 Å
α = 90.00°, β = 90.00°, γ = 90.00°
Space group P-4m2 (No. 115)
One atom of each set of equivalent atoms:
Ce (0.000, 0.500, 0.236) x2
Ga (0.000, 0.500, 0.881) x2
Ga (0.500, 0.500, 0.500) x1
Ni (0.000, 0.000, 0.000) x1
Ni (0.000, 0.500, 0.643) x2
Ni (0.500, 0.500, 0.000) x1
Sn (0.000, 0.000, 0.500) x1